VASP calculation (PBE) on AcThSbO2 after structural relaxation.

abc: 4.119 4.119 7.249
angles: 106.51 106.51 90.00
Positions (direct):
O: 0.241 0.741 0.483
O: 0.741 0.241 0.483
Th: 0.156 0.156 0.311
Ac: 0.853 0.853 0.707
Sb: 0.508 0.508 0.017

Results
- formation energy (no corrections) (eV/atom) = -2.76
- M_tot (Bohr magnetons per cell) = 0.000